Record 1
Entry from Alexandria: a relaxed Li2ThIn2Hg2 crystal (GGA-PBE).

a = 4.767 Å, b = 4.767 Å, c = 8.611 Å
α = 73.93°, β = 73.93°, γ = 60.00°
Sites, in units of the cell vectors:
Li 0.141 0.141 0.576
Li 0.859 0.859 0.424
Th 0.000 0.000 0.000
In 0.737 0.737 0.789
In 0.263 0.263 0.211
Hg 0.564 0.564 0.309
Hg 0.436 0.436 0.691

Properties
Space group ... No. 166
Fermi-level density of states ... 0.419 states/eV/atom
Electronic total energy ... -19.1 eV per formula unit

---

Record 2
Entry from Alexandria: a relaxed LiTl2In2Hg5 crystal (GGA-PBE).

a = 3.502 Å, b = 12.255 Å, c = 12.255 Å
α = 90.00°, β = 90.00°, γ = 90.00°
Sites, in units of the cell vectors:
Li 0.000 0.000 0.000
Li 0.000 0.500 0.500
Tl 0.000 0.668 0.168
Tl 0.000 0.332 0.832
Tl 0.000 0.168 0.332
Tl 0.000 0.832 0.668
In 0.000 0.147 0.647
In 0.000 0.853 0.353
In 0.000 0.647 0.853
In 0.000 0.353 0.147
Hg 0.500 0.183 0.023
Hg 0.500 0.817 0.977
Hg 0.500 0.023 0.817
Hg 0.500 0.683 0.477
Hg 0.500 0.977 0.183
Hg 0.500 0.317 0.523
Hg 0.500 0.523 0.683
Hg 0.500 0.477 0.317
Hg 0.500 0.500 0.000
Hg 0.500 0.000 0.500

Properties
Space group ... No. 127
Fermi-level density of states ... 0.427 states/eV/atom
Electronic total energy ... -14.3 eV per formula unit

---

Record 3
Entry from Alexandria: a relaxed LiTlIn2Hg5 crystal (GGA-PBE).

a = 5.088 Å, b = 6.496 Å, c = 8.788 Å
α = 111.69°, β = 106.83°, γ = 90.00°
Sites, in units of the cell vectors:
Li 0.500 0.000 0.000
Tl 0.000 0.500 0.000
In 0.191 0.191 0.382
In 0.809 0.809 0.618
Hg 0.638 0.871 0.275
Hg 0.362 0.129 0.725
Hg 0.362 0.596 0.725
Hg 0.638 0.404 0.275
Hg 0.000 0.000 0.000

Properties
Space group ... No. 71
Fermi-level density of states ... 0.388 states/eV/atom
Electronic total energy ... -11.3 eV per formula unit

---

Record 4
Entry from Alexandria: a relaxed LiTlIn2Hg2 crystal (GGA-PBE).

a = 4.992 Å, b = 6.630 Å, c = 9.182 Å
α = 90.00°, β = 90.00°, γ = 90.00°
Sites, in units of the cell vectors:
Li 0.500 0.192 0.678
Li 0.500 0.692 0.322
Tl 0.000 0.984 0.485
Tl 0.000 0.484 0.515
In 0.500 0.018 0.035
In 0.000 0.328 0.165
In 0.500 0.518 0.965
In 0.000 0.828 0.835
Hg 0.000 0.295 0.828
Hg 0.500 0.229 0.353
Hg 0.000 0.795 0.172
Hg 0.500 0.729 0.647

Properties
Space group ... No. 26
Fermi-level density of states ... 0.293 states/eV/atom
Electronic total energy ... -10.9 eV per formula unit

---

Record 5
Entry from Alexandria: a relaxed Li2TlInHg crystal (GGA-PBE).

a = 4.478 Å, b = 6.953 Å, c = 7.097 Å
α = 90.80°, β = 90.00°, γ = 90.00°
Sites, in units of the cell vectors:
Li 0.750 0.679 0.549
Li 0.750 0.851 0.962
Li 0.250 0.321 0.451
Li 0.250 0.149 0.038
Tl 0.250 0.546 0.828
Tl 0.750 0.454 0.172
In 0.250 0.763 0.267
In 0.750 0.237 0.733
Hg 0.250 0.953 0.680
Hg 0.750 0.047 0.320

Properties
Space group ... No. 11
Fermi-level density of states ... 0.262 states/eV/atom
Electronic total energy ... -10.2 eV per formula unit

---

Record 6
Entry from Alexandria: a relaxed Li2Tl2InHg5 crystal (GGA-PBE).

a = 4.185 Å, b = 10.798 Å, c = 10.798 Å
α = 90.00°, β = 90.00°, γ = 90.00°
Sites, in units of the cell vectors:
Li 0.000 0.126 0.626
Li 0.000 0.874 0.374
Li 0.000 0.626 0.874
Li 0.000 0.374 0.126
Tl 0.000 0.673 0.173
Tl 0.000 0.327 0.827
Tl 0.000 0.173 0.327
Tl 0.000 0.827 0.673
In 0.000 0.000 0.000
In 0.000 0.500 0.500
Hg 0.500 0.204 0.071
Hg 0.500 0.796 0.929
Hg 0.500 0.071 0.796
Hg 0.500 0.704 0.429
Hg 0.500 0.929 0.204
Hg 0.500 0.296 0.571
Hg 0.500 0.571 0.704
Hg 0.500 0.429 0.296
Hg 0.500 0.500 0.000
Hg 0.500 0.000 0.500

Properties
Space group ... No. 127
Fermi-level density of states ... 0.306 states/eV/atom
Electronic total energy ... -14.1 eV per formula unit

---

Record 7
Entry from Alexandria: a relaxed LiTl2In2Hg7 crystal (GGA-PBE).

a = 4.417 Å, b = 4.417 Å, c = 16.645 Å
α = 83.29°, β = 83.29°, γ = 90.05°
Sites, in units of the cell vectors:
Li 0.000 0.000 0.000
Tl 0.856 0.856 0.338
Tl 0.144 0.144 0.662
In 0.616 0.616 0.718
In 0.384 0.384 0.282
Hg 0.500 0.500 0.000
Hg 0.266 0.266 0.470
Hg 0.734 0.734 0.530
Hg 0.942 0.441 0.141
Hg 0.441 0.942 0.141
Hg 0.559 0.058 0.859
Hg 0.058 0.559 0.859

Properties
Space group ... No. 12
Fermi-level density of states ... 0.390 states/eV/atom
Electronic total energy ... -14.6 eV per formula unit

---

Record 8
Entry from Alexandria: a relaxed Li2TlInHg4 crystal (GGA-PBE).

a = 4.942 Å, b = 4.942 Å, c = 9.409 Å
α = 74.78°, β = 74.78°, γ = 60.00°
Sites, in units of the cell vectors:
Li 0.754 0.754 0.739
Li 0.246 0.246 0.261
Tl 0.000 0.000 0.000
In 0.500 0.500 0.500
Hg 0.383 0.383 0.850
Hg 0.877 0.877 0.370
Hg 0.123 0.123 0.630
Hg 0.617 0.617 0.150

Properties
Space group ... No. 166
Fermi-level density of states ... 0.276 states/eV/atom
Electronic total energy ... -11.5 eV per formula unit

---

Record 9
Entry from Alexandria: a relaxed LiTlInHg crystal (GGA-PBE).

a = 5.159 Å, b = 5.159 Å, c = 5.159 Å
α = 60.00°, β = 60.00°, γ = 60.00°
Sites, in units of the cell vectors:
Tl 0.250 0.250 0.250
Li 0.500 0.500 0.500
Hg 0.750 0.750 0.750
In 0.000 0.000 0.000

Properties
Space group ... No. 216
Fermi-level density of states ... 0.190 states/eV/atom
Distance to the lowest polymorph of the same formula ... 11 kJ/mol of formula units
Electronic total energy ... -7.8 eV per formula unit

---

Record 10
Entry from Alexandria: a relaxed LiTlInHg crystal (GGA-PBE).

a = 3.381 Å, b = 3.381 Å, c = 8.363 Å
α = 90.00°, β = 90.00°, γ = 90.00°
Sites, in units of the cell vectors:
Li 0.000 0.000 0.558
Tl 0.000 0.000 0.075
In 0.500 0.500 0.776
Hg 0.500 0.500 0.376

Properties
Space group ... No. 99
Fermi-level density of states ... 0.336 states/eV/atom
Distance to the lowest polymorph of the same formula ... 0 kJ/mol of formula units
Electronic total energy ... -7.9 eV per formula unit

---

Record 11
Entry from Alexandria: a relaxed Li2TmIn2Hg2 crystal (GGA-PBE).

a = 4.816 Å, b = 4.816 Å, c = 8.163 Å
α = 72.84°, β = 72.84°, γ = 60.00°
Sites, in units of the cell vectors:
Li 0.140 0.140 0.579
Li 0.860 0.860 0.421
Tm 0.000 0.000 0.000
In 0.729 0.729 0.812
In 0.271 0.271 0.188
Hg 0.569 0.569 0.294
Hg 0.431 0.431 0.706

Properties
Space group ... No. 166
Fermi-level density of states ... 0.420 states/eV/atom
Electronic total energy ... -16.2 eV per formula unit

---

Record 12
Entry from Alexandria: a relaxed LiTmInHg crystal (GGA-PBE).

a = 5.025 Å, b = 5.025 Å, c = 5.025 Å
α = 60.00°, β = 60.00°, γ = 60.00°
Sites, in units of the cell vectors:
Tm 0.500 0.500 0.500
Li 0.000 0.000 0.000
Hg 0.750 0.750 0.750
In 0.250 0.250 0.250

Properties
Space group ... No. 216
Fermi-level density of states ... 0.498 states/eV/atom
Electronic total energy ... -11.0 eV per formula unit

---

Record 13
Entry from Alexandria: a relaxed LiTm2InHg4 crystal (GGA-PBE).

a = 5.044 Å, b = 5.044 Å, c = 8.717 Å
α = 73.18°, β = 73.18°, γ = 60.00°
Sites, in units of the cell vectors:
Li 0.500 0.500 0.500
Tm 0.746 0.746 0.762
Tm 0.254 0.254 0.238
In 0.000 0.000 0.000
Hg 0.383 0.383 0.850
Hg 0.867 0.867 0.398
Hg 0.133 0.133 0.602
Hg 0.617 0.617 0.150

Properties
Space group ... No. 166
Fermi-level density of states ... 0.408 states/eV/atom
Electronic total energy ... -18.0 eV per formula unit

---

Record 14
Entry from Alexandria: a relaxed LiZnInHg crystal (GGA-PBE).

a = 4.451 Å, b = 4.466 Å, c = 5.133 Å
α = 117.76°, β = 115.70°, γ = 90.00°
Sites, in units of the cell vectors:
Li 0.500 0.497 0.000
Zn 0.000 0.001 0.000
In 0.749 0.250 0.499
Hg 0.250 0.753 0.501

Properties
Space group ... No. 8
Fermi-level density of states ... 0.265 states/eV/atom
Electronic total energy ... -6.8 eV per formula unit

---

Record 15
Entry from Alexandria: a relaxed Li2ZnInHg4 crystal (GGA-PBE).

a = 4.886 Å, b = 4.886 Å, c = 8.457 Å
α = 73.21°, β = 73.21°, γ = 60.00°
Sites, in units of the cell vectors:
Li 0.748 0.748 0.756
Li 0.252 0.252 0.244
Zn 0.500 0.500 0.500
In 0.000 0.000 0.000
Hg 0.382 0.382 0.853
Hg 0.869 0.869 0.392
Hg 0.131 0.131 0.608
Hg 0.618 0.618 0.147

Properties
Space group ... No. 166
Fermi-level density of states ... 0.329 states/eV/atom
Electronic total energy ... -10.5 eV per formula unit

---

Record 16
Entry from Alexandria: a relaxed Li2ZnIn2Hg5 crystal (GGA-PBE).

a = 3.738 Å, b = 11.011 Å, c = 11.011 Å
α = 90.00°, β = 90.00°, γ = 90.00°
Sites, in units of the cell vectors:
Li 0.000 0.131 0.631
Li 0.000 0.869 0.369
Li 0.000 0.631 0.869
Li 0.000 0.369 0.131
Zn 0.000 0.000 0.000
Zn 0.000 0.500 0.500
In 0.000 0.671 0.171
In 0.000 0.329 0.829
In 0.000 0.171 0.329
In 0.000 0.829 0.671
Hg 0.500 0.195 0.067
Hg 0.500 0.805 0.933
Hg 0.500 0.067 0.805
Hg 0.500 0.695 0.433
Hg 0.500 0.933 0.195
Hg 0.500 0.305 0.567
Hg 0.500 0.567 0.695
Hg 0.500 0.433 0.305
Hg 0.500 0.500 0.000
Hg 0.500 0.000 0.500

Properties
Space group ... No. 127
Fermi-level density of states ... 0.288 states/eV/atom
Electronic total energy ... -13.0 eV per formula unit

---

Record 17
Entry from Alexandria: a relaxed LuInHg crystal (GGA-PBE).

a = 3.548 Å, b = 4.865 Å, c = 4.865 Å
α = 120.00°, β = 90.00°, γ = 90.00°
Sites, in units of the cell vectors:
Lu 0.651 0.667 0.333
Hg 0.242 0.333 0.667
In 0.107 0.000 0.000

Properties
Space group ... No. 156
Fermi-level density of states ... 0.649 states/eV/atom
Electronic total energy ... -8.5 eV per formula unit

---

Record 18
Entry from Alexandria: a relaxed LuInHg crystal (GGA-PBE).

a = 3.571 Å, b = 3.571 Å, c = 6.338 Å
α = 106.36°, β = 106.36°, γ = 90.00°
Each line ends with the local moment (μB).
Sites, in units of the cell vectors:
Lu 0.943 0.943 0.887  0.12
Hg 0.286 0.286 0.571  0.00
In 0.621 0.621 0.242  0.00

Properties
Space group ... No. 107
Fermi-level density of states ... 0.652 states/eV/atom
Electronic total energy ... -8.4 eV per formula unit

---

Record 19
Entry from Alexandria: a relaxed LuInHg crystal (GGA-PBE).

a = 4.811 Å, b = 4.811 Å, c = 4.811 Å
α = 60.00°, β = 60.00°, γ = 60.00°
Sites, in units of the cell vectors:
Lu 0.500 0.500 0.500
Hg 0.250 0.250 0.250
In 0.000 0.000 0.000

Properties
Space group ... No. 216
Fermi-level density of states ... 0.260 states/eV/atom
Electronic total energy ... -8.6 eV per formula unit

---

Record 20
Entry from Alexandria: a relaxed LuMgInHg crystal (GGA-PBE).

a = 5.095 Å, b = 5.095 Å, c = 5.095 Å
α = 60.00°, β = 60.00°, γ = 60.00°
Sites, in units of the cell vectors:
Mg 0.000 0.000 0.000
Lu 0.500 0.500 0.500
Hg 0.250 0.250 0.250
In 0.750 0.750 0.750

Properties
Space group ... No. 216
Fermi-level density of states ... 0.279 states/eV/atom
Electronic total energy ... -10.5 eV per formula unit

---

Record 21
Entry from Alexandria: a relaxed NaLuInHg crystal (GGA-PBE).

a = 5.188 Å, b = 5.188 Å, c = 5.188 Å
α = 60.00°, β = 60.00°, γ = 60.00°
Sites, in units of the cell vectors:
Na 0.000 0.000 0.000
Lu 0.500 0.500 0.500
Hg 0.750 0.750 0.750
In 0.250 0.250 0.250

Properties
Space group ... No. 216
Fermi-level density of states ... 0.674 states/eV/atom
Electronic total energy ... -9.9 eV per formula unit

---

Record 22
Entry from Alexandria: a relaxed NdLuInHg crystal (GGA-PBE).

a = 5.346 Å, b = 5.346 Å, c = 5.346 Å
α = 60.00°, β = 60.00°, γ = 60.00°
Sites, in units of the cell vectors:
Lu 0.500 0.500 0.500
Nd 0.000 0.000 0.000
Hg 0.250 0.250 0.250
In 0.750 0.750 0.750

Properties
Space group ... No. 216
Fermi-level density of states ... 1.126 states/eV/atom
Electronic total energy ... -14.1 eV per formula unit

---

Record 23
Entry from Alexandria: a relaxed LuInNiHg crystal (GGA-PBE).

a = 4.820 Å, b = 4.820 Å, c = 4.820 Å
α = 60.00°, β = 60.00°, γ = 60.00°
Sites, in units of the cell vectors:
Ni 0.500 0.500 0.500
Lu 0.750 0.750 0.750
Hg 0.000 0.000 0.000
In 0.250 0.250 0.250

Properties
Space group ... No. 216
Fermi-level density of states ... 0.438 states/eV/atom
Electronic total energy ... -14.3 eV per formula unit

---

Record 24
Entry from Alexandria: a relaxed LuPaInHg crystal (GGA-PBE).

a = 5.262 Å, b = 5.262 Å, c = 5.262 Å
α = 60.00°, β = 60.00°, γ = 60.00°
Each line ends with the local moment (μB).
Sites, in units of the cell vectors:
Pa 0.500 0.500 0.500  0.93
Lu 0.000 0.000 0.000  0.13
Hg 0.750 0.750 0.750  0.01
In 0.250 0.250 0.250  0.01

Properties
Space group ... No. 216
Fermi-level density of states ... 1.972 states/eV/atom
Electronic total energy ... -17.3 eV per formula unit

---

Record 25
Entry from Alexandria: a relaxed PmLuInHg crystal (GGA-PBE).

a = 5.325 Å, b = 5.325 Å, c = 5.325 Å
α = 60.00°, β = 60.00°, γ = 60.00°
Sites, in units of the cell vectors:
Lu 0.500 0.500 0.500
In 0.250 0.250 0.250
Hg 0.750 0.750 0.750
Pm 0.000 0.000 0.000

Properties
Space group ... No. 216
Fermi-level density of states ... 1.135 states/eV/atom
Electronic total energy ... -14.1 eV per formula unit